Computed, not measured: crystalline FeBr2O at its relaxed geometry at the PBE with a Hubbard U level of DFT.

Calculated values
total energy	-3.394	eV per atom
volume	93.8	Å³/cell
density	4.101	g/cm3
space-group type	No. 166
DOS(E_F)	0.000	states/eV per atom

Lattice parameters (Å, degrees): 7.296 7.296 7.296 31.44 31.44 31.44
Atoms (fractional coordinates):
O (0.000, 0.000, 0.000)
Fe (0.500, 0.500, 0.500)
Br (0.902, 0.902, 0.902)
Br (0.098, 0.098, 0.098)